Na4Tl19Bi6 PBE optimized geometry; E = -73.2 eV/cell; ΔH_f (0 K) = 1 kJ per mole of atoms; calculated volume = 32.9 Å³/atom; SG = I23 (197); D(E_F) = 10.8 states/eV/f.u.; M_tot = 0.0 μB per cell
1.0
-6.2039 6.2039 6.2039
6.2039 -6.2039 6.2039
6.2039 6.2039 -6.2039
Na Tl Bi
4 19 6
direct
0.0000 0.0000 0.6460 Na
0.0000 0.6460 0.0000 Na
0.3540 0.3540 0.3540 Na
0.6460 0.0000 0.0000 Na
0.0000 0.0000 0.0000 Tl
0.0000 0.2643 0.2643 Tl
0.0000 0.7357 0.7357 Tl
0.0044 0.3386 0.7962 Tl
0.2038 0.5424 0.2082 Tl
0.2082 0.2038 0.5424 Tl
0.2643 0.0000 0.2643 Tl
0.2643 0.2643 0.0000 Tl
0.3342 0.9956 0.7918 Tl
0.3386 0.7962 0.0044 Tl
0.4576 0.6614 0.6658 Tl
0.5424 0.2082 0.2038 Tl
0.6614 0.6658 0.4576 Tl
0.6658 0.4576 0.6614 Tl
0.7357 0.0000 0.7357 Tl
0.7357 0.7357 0.0000 Tl
0.7918 0.3342 0.9956 Tl
0.7962 0.0044 0.3386 Tl
0.9956 0.7918 0.3342 Tl
0.1290 0.6290 0.5000 Bi
0.3710 0.5000 0.8710 Bi
0.5000 0.1290 0.6290 Bi
0.5000 0.8710 0.3710 Bi
0.6290 0.5000 0.1290 Bi
0.8710 0.3710 0.5000 Bi